LiDySi2 after structural relaxation, computed with GGA-PBE.

## Properties
The calculation puts the calculated total energy at -78.569 eV per cell. The value obtained for the energy above the lowest structure with this stoichiometry is 0 meV per atom. The formation energy from raw total energies is -13.15 kcal/mol of atoms.

abc: 6.6236 4.1101 10.7751
angles: 90.00 90.00 90.00
Closest atoms and distances in Å follow each position.
Space group Pnma (No. 62)
Unique sites:
1 Li 0.1385 0.2500 0.0545 [4 per cell]  5 Si 2.49-2.63
2 Dy 0.1483 0.2500 0.3442 [4 per cell]  9 Si 2.97-3.28, 1 Li 3.12
3 Si 0.0294 0.2500 0.8333 [4 per cell]  2 Si 2.36-2.37, 3 Li 2.49-2.63
4 Si 0.1751 0.2500 0.6331 [4 per cell]  2 Si 2.36-2.37, 2 Li 2.54